[1]
# Cu2CCl | Alexandria | PBE | relaxed
# **Energy above the lowest structure with this stoichiometry**: 3.591 eV/f.u.
# **V**: 200.8 Å³ per cell
# **Raw formation energy**: 1513 meV/atom
# **DOS at the Fermi energy**: 21.793 states/eV/cell
data_Cu2CCl
_chemical_formula_sum 'Cu8 C4 Cl4'
_cell_length_a 5.856
_cell_length_b 5.856
_cell_length_c 5.856
_cell_angle_alpha 90.00
_cell_angle_beta 90.00
_cell_angle_gamma 90.00
_space_group_name_H-M_alt 'F m -3 m'
_space_group_IT_number 225
_space_group_name_Hall '-F 4 2 3'
loop_
_atom_site_label
_atom_site_fract_x
_atom_site_fract_y
_atom_site_fract_z
Cu1 0.250 0.250 0.250
C1 0.000 0.000 0.000
Cl1 0.000 0.000 0.500



[2]
# CePuPaSn | Alexandria | PBE | relaxed
# **Energy**: -136.2 eV per cell
# **V**: 411.0 Å³ per cell
# **DOS at the Fermi energy**: 31.106 states/eV/cell
data_CePuPaSn
_chemical_formula_sum 'Ce4 Pu4 Pa4 Sn4'
_cell_length_a 7.435
_cell_length_b 7.435
_cell_length_c 7.435
_cell_angle_alpha 90.00
_cell_angle_beta 90.00
_cell_angle_gamma 90.00
_space_group_name_H-M_alt 'F -4 3 m'
_space_group_IT_number 216
_space_group_name_Hall 'F -4 2 3'
loop_
_atom_site_label
_atom_site_fract_x
_atom_site_fract_y
_atom_site_fract_z
Ce1 0.000 0.000 0.000
Pu1 0.000 0.000 0.500
Pa1 0.250 0.250 0.250
Sn1 0.250 0.250 0.750



[3]
# Li6SnRh2 | Alexandria | PBE | relaxed
# **Energy above the lowest structure with this stoichiometry**: 1.150 eV/f.u.
# **V**: 454.7 Å³ per cell
# **DOS at the Fermi energy**: 12.212 states/eV/cell
data_Li6SnRh2
_chemical_formula_sum 'Li18 Sn3 Rh6'
_cell_length_a 4.4168
_cell_length_b 4.4168
_cell_length_c 26.9153
_cell_angle_alpha 90.00
_cell_angle_beta 90.00
_cell_angle_gamma 120.00
_space_group_name_H-M_alt 'R -3 m'
_space_group_IT_number 166
_space_group_name_Hall '-R 3 2"'
loop_
_atom_site_label
_atom_site_fract_x
_atom_site_fract_y
_atom_site_fract_z
Li1 0.0000 0.0000 0.0769
Li2 0.0000 0.0000 0.2140
Li3 0.0000 0.0000 0.3078
Sn1 0.0000 0.0000 0.5000
Rh1 0.0000 0.0000 0.4057



[4]
# ReBSeN2 | Alexandria | PBE | relaxed
# **Energy above the lowest structure with this stoichiometry**: 0.000 eV/f.u.
# **V**: 77.5 Å³ per cell
# **Raw formation energy**: 1144 meV/atom
# **DOS at the Fermi energy**: 2.894 states/eV/cell
data_ReBSeN2
_chemical_formula_sum 'Re1 B1 Se1 N2'
_cell_length_a 3.782
_cell_length_b 3.782
_cell_length_c 5.422
_cell_angle_alpha 90.00
_cell_angle_beta 90.00
_cell_angle_gamma 90.00
_space_group_name_H-M_alt 'P 4/m m m'
_space_group_IT_number 123
_space_group_name_Hall '-P 4 2'
loop_
_atom_site_label
_atom_site_fract_x
_atom_site_fract_y
_atom_site_fract_z
Re1 0.000 0.000 0.000
B1 0.500 0.500 0.500
Se1 0.000 0.000 0.500
N1 0.000 0.500 0.000



[5]
# TbHo2Pt2 | Alexandria | PBE | relaxed
# **Energy above the lowest structure with this stoichiometry**: 0.293 eV/f.u.
# **V**: 481.8 Å³ per cell
# **DOS at the Fermi energy**: 15.599 states/eV/cell
data_TbHo2Pt2
_chemical_formula_sum 'Tb4 Ho8 Pt8'
_cell_length_a 3.768
_cell_length_b 27.632
_cell_length_c 4.628
_cell_angle_alpha 90.00
_cell_angle_beta 90.00
_cell_angle_gamma 90.00
_space_group_name_H-M_alt 'C m c m'
_space_group_IT_number 63
_space_group_name_Hall '-C 2c 2'
loop_
_atom_site_label
_atom_site_fract_x
_atom_site_fract_y
_atom_site_fract_z
Tb1 0.000 0.136 0.250
Ho1 0.000 0.231 0.750
Ho2 0.000 0.449 0.250
Pt1 0.000 0.033 0.250
Pt2 0.000 0.344 0.250



[6]
# Sc2SbSe | Alexandria | PBE | relaxed
# **Energy above the lowest structure with this stoichiometry**: 1.577 eV/f.u.
# **V**: 503.6 Å³ per cell
# **Raw formation energy**: -870 meV/atom
# **DOS at the Fermi energy**: 13.183 states/eV/cell
data_Sc2SbSe
_chemical_formula_sum 'Sc8 Sb4 Se4'
_cell_length_a 6.303
_cell_length_b 6.303
_cell_length_c 12.676
_cell_angle_alpha 90.00
_cell_angle_beta 90.00
_cell_angle_gamma 90.00
_space_group_name_H-M_alt 'I -4 2 d'
_space_group_IT_number 122
_space_group_name_Hall 'I -4 2bw'
loop_
_atom_site_label
_atom_site_fract_x
_atom_site_fract_y
_atom_site_fract_z
Sc1 0.228 0.250 0.125
Sb1 0.000 0.000 0.500
Se1 0.000 0.000 0.000



[7]
# Na2Pt2Rh | Alexandria | PBE | relaxed
# **Energy**: -43.5 eV per cell
# **V**: 201.9 Å³ per cell
# **DOS at the Fermi energy**: 7.007 states/eV/cell
data_Na2Pt2Rh
_chemical_formula_sum 'Na4 Pt4 Rh2'
_cell_length_a 6.524
_cell_length_b 6.524
_cell_length_c 4.744
_cell_angle_alpha 90.00
_cell_angle_beta 90.00
_cell_angle_gamma 90.00
_space_group_name_H-M_alt 'P 4/m b m'
_space_group_IT_number 127
_space_group_name_Hall '-P 4 2ab'
loop_
_atom_site_label
_atom_site_fract_x
_atom_site_fract_y
_atom_site_fract_z
Na1 0.175 0.325 0.000
Pt1 0.136 0.636 0.500
Rh1 0.000 0.000 0.500



[8]
# BaSr2PtRh | Alexandria | PBE | relaxed
# **Energy**: -18.9 eV per cell
# **V**: 167.3 Å³ per cell
# **DOS at the Fermi energy**: 8.056 states/eV/cell
data_BaSr2PtRh
_chemical_formula_sum 'Ba1 Sr2 Pt1 Rh1'
_cell_length_a 5.614
_cell_length_b 5.614
_cell_length_c 5.308
_cell_angle_alpha 90.00
_cell_angle_beta 90.00
_cell_angle_gamma 90.00
_space_group_name_H-M_alt 'P 4/m m m'
_space_group_IT_number 123
_space_group_name_Hall '-P 4 2'
loop_
_atom_site_label
_atom_site_fract_x
_atom_site_fract_y
_atom_site_fract_z
Ba1 0.000 0.000 0.000
Sr1 0.000 0.500 0.500
Pt1 0.500 0.500 0.000
Rh1 0.500 0.500 0.500